[1]
The following is a DFT calculation (GGA-PBE) of a relaxed structure of La5Al2Ru3.

Values from the calculation:
formation enthalpy at 0 K	-459	meV/atom

abc: 8.6321 8.6321 8.6321
angles: 109.47 109.47 109.47
Closest atoms and distances in Å follow each position.
Positions (direct):
La 0.0000 0.2891 0.5000  3 Ru 2.97, 1 Al 3.24
La 0.0595 0.7500 0.8095  2 Ru 2.82
La 0.2109 0.2109 0.2109  3 Ru 2.97, 1 Al 3.24
La 0.2500 0.6905 0.4405  2 Ru 2.82
La 0.2891 0.5000 0.0000  3 Ru 2.97, 1 Al 3.24
La 0.4405 0.2500 0.6905  2 Ru 2.82
La 0.5000 0.0000 0.2891  3 Ru 2.97, 1 Al 3.24
La 0.6905 0.4405 0.2500  2 Ru 2.82
La 0.7500 0.8095 0.0595  2 Ru 2.82
La 0.8095 0.0595 0.7500  2 Ru 2.82
Al 0.0000 0.9135 0.5000  3 Ru 2.65
Al 0.5000 0.0000 0.9135  3 Ru 2.65
Al 0.5865 0.5865 0.5865  3 Ru 2.65
Al 0.9135 0.5000 0.0000  3 Ru 2.65
Ru 0.1176 0.8676 0.2500  2 Al 2.65, 2 La 2.82
Ru 0.2500 0.1176 0.8676  2 Al 2.65, 2 La 2.82
Ru 0.3824 0.6324 0.7500  2 Al 2.65, 2 La 2.82
Ru 0.6324 0.7500 0.3824  2 Al 2.65, 2 La 2.82
Ru 0.7500 0.3824 0.6324  2 Al 2.65, 2 La 2.82
Ru 0.8676 0.2500 0.1176  2 Al 2.65, 2 La 2.82

[2]
The following is a DFT calculation (GGA-PBE) of a relaxed structure of Ta3ReNi.

Values from the calculation:
energy above the most stable polymorph in this dataset	2.438	eV/f.u.
formation enthalpy at 0 K	1544	meV/atom

abc: 4.8154 4.8154 4.8154
angles: 90.00 90.00 90.00
Closest atoms and distances in Å follow each position.
Positions (direct):
Ta 0.0000 0.0000 0.5000  2 Re 2.41
Ta 0.0000 0.5000 0.0000  2 Re 2.41
Ta 0.5000 0.0000 0.0000  2 Re 2.41
Re 0.0000 0.0000 0.0000  6 Ta 2.41
Ni 0.5000 0.5000 0.5000  12 Ta 3.41

[3]
The following is a DFT calculation (GGA-PBE) of a relaxed structure of Ac2ThSn.

Values from the calculation:
energy above the most stable polymorph in this dataset	1.540	eV/f.u.
formation enthalpy at 0 K	136	meV/atom

abc: 12.9944 12.9944 12.9944
angles: 16.11 16.11 16.11
Closest atoms and distances in Å follow each position.
Positions (direct):
Ac 0.0934 0.0934 0.0934  3 Sn 3.52, 1 Th 3.59, 6 Ac 3.64
Ac 0.9066 0.9066 0.9066  3 Sn 3.52, 1 Th 3.59, 6 Ac 3.64
Th 0.0000 0.0000 0.0000  2 Ac 3.59, 6 Th 3.64
Sn 0.5000 0.5000 0.5000  6 Ac 3.52, 6 Sn 3.64

[4]
The following is a DFT calculation (GGA-PBE) of a relaxed structure of Tb4SmHo15.

Values from the calculation:
formation enthalpy at 0 K	19	meV/atom

abc: 5.0016 5.0016 24.9807
angles: 90.00 90.00 90.00
Closest atoms and distances in Å follow each position.
Positions (direct):
Tb 0.0000 0.0000 0.0999  12 Ho 3.53-3.54
Tb 0.0000 0.0000 0.2997  12 Ho 3.53-3.54
Tb 0.0000 0.0000 0.7003  12 Ho 3.53-3.54
Tb 0.0000 0.0000 0.9001  12 Ho 3.53-3.54
Sm 0.0000 0.0000 0.5000  12 Ho 3.54-3.55
Ho 0.0000 0.5000 0.0000  4 Tb 3.53, 8 Ho 3.53-3.54
Ho 0.0000 0.5000 0.1998  8 Ho 3.53-3.54, 4 Tb 3.53
Ho 0.0000 0.5000 0.3994  2 Tb 3.53, 8 Ho 3.53-3.55, 2 Sm 3.55
Ho 0.0000 0.5000 0.6006  2 Tb 3.53, 8 Ho 3.53-3.55, 2 Sm 3.55
Ho 0.0000 0.5000 0.8002  8 Ho 3.53-3.54, 4 Tb 3.53
Ho 0.5000 0.0000 0.0000  4 Tb 3.53, 8 Ho 3.53-3.54
Ho 0.5000 0.0000 0.1998  8 Ho 3.53-3.54, 4 Tb 3.53
Ho 0.5000 0.0000 0.3994  2 Tb 3.53, 8 Ho 3.53-3.55, 2 Sm 3.55
Ho 0.5000 0.0000 0.6006  2 Tb 3.53, 8 Ho 3.53-3.55, 2 Sm 3.55
Ho 0.5000 0.0000 0.8002  8 Ho 3.53-3.54, 4 Tb 3.53
Ho 0.5000 0.5000 0.1000  8 Ho 3.53, 4 Tb 3.54
Ho 0.5000 0.5000 0.2995  8 Ho 3.53, 4 Tb 3.54
Ho 0.5000 0.5000 0.5000  4 Sm 3.54, 8 Ho 3.55
Ho 0.5000 0.5000 0.7005  8 Ho 3.53, 4 Tb 3.54
Ho 0.5000 0.5000 0.9000  8 Ho 3.53, 4 Tb 3.54

[5]
The following is a DFT calculation (GGA-PBE) of a relaxed structure of LiPmHoTc.

Values from the calculation:
formation enthalpy at 0 K	8	meV/atom

abc: 4.9760 4.9760 4.9760
angles: 60.00 60.00 60.00
Closest atoms and distances in Å follow each position.
Positions (direct):
Li 0.0000 0.0000 0.0000  4 Pm 3.05, 4 Ho 3.05
Pm 0.7500 0.7500 0.7500  4 Tc 3.05, 4 Li 3.05
Ho 0.2500 0.2500 0.2500  4 Tc 3.05, 4 Li 3.05
Tc 0.5000 0.5000 0.5000  4 Ho 3.05, 4 Pm 3.05

[6]
The following is a DFT calculation (GGA-PBE) of a relaxed structure of Tl3ReRh3S8.

Values from the calculation:
energy relative to the elements, uncorrected	-0.3407	eV per atom

abc: 7.2425 7.2425 8.2756
angles: 115.87 115.87 60.08
Closest atoms and distances in Å follow each position.
Positions (direct):
Tl 0.0000 0.0000 0.0000  6 S 3.15-3.18
Tl 0.0000 0.5000 0.0000  6 S 3.15-3.18
Tl 0.5000 0.0000 0.0000  6 S 3.15-3.18
Re 0.0000 0.0000 0.5000  6 S 2.41-2.42
Rh 0.0000 0.5000 0.5000  6 S 2.40-2.42
Rh 0.5000 0.0000 0.5000  6 S 2.40-2.42
Rh 0.5000 0.5000 0.5000  6 S 2.40-2.42
S 0.2230 0.2230 0.6701  1 Re 2.42, 2 Rh 2.42
S 0.2231 0.7240 0.6698  1 Re 2.41, 2 Rh 2.42
S 0.2760 0.7769 0.3302  1 Re 2.41, 2 Rh 2.42
S 0.2785 0.2785 0.3355  3 Rh 2.40
S 0.7215 0.7215 0.6645  3 Rh 2.40
S 0.7240 0.2231 0.6698  1 Re 2.41, 2 Rh 2.42
S 0.7769 0.2760 0.3302  1 Re 2.41, 2 Rh 2.42
S 0.7770 0.7770 0.3299  1 Re 2.42, 2 Rh 2.42

[7]
The following is a DFT calculation (GGA-PBE) of a relaxed structure of Li3Tl4Pb.

Values from the calculation:
formation enthalpy at 0 K	-138	meV/atom

abc: 4.9414 4.9414 8.0126
angles: 90.00 90.00 90.00
Closest atoms and distances in Å follow each position.
Positions (direct):
Li 0.0000 0.0000 0.0000  8 Tl 3.05
Li 0.0000 0.0000 0.5000  8 Tl 3.32, 4 Pb 3.49
Li 0.5000 0.5000 0.0000  8 Tl 3.05
Tl 0.0000 0.5000 0.2236  6 Li 3.05-3.32, 2 Pb 3.32
Tl 0.0000 0.5000 0.7764  6 Li 3.05-3.32, 2 Pb 3.32
Tl 0.5000 0.0000 0.2236  6 Li 3.05-3.32, 2 Pb 3.32
Tl 0.5000 0.0000 0.7764  6 Li 3.05-3.32, 2 Pb 3.32
Pb 0.5000 0.5000 0.5000  8 Tl 3.32, 4 Li 3.49

[8]
The following is a DFT calculation (GGA-PBE) of a relaxed structure of Na2PS.

Values from the calculation:
energy above the most stable polymorph in this dataset	0.330	eV/f.u.
energy relative to the elements, uncorrected	-0.0750	eV per atom

abc: 4.8144 4.8144 4.8144
angles: 60.00 60.00 60.00
Closest atoms and distances in Å follow each position.
Positions (direct):
Na 0.2500 0.2500 0.2500  4 S 2.95, 4 P 2.95
Na 0.7500 0.7500 0.7500  4 S 2.95, 4 P 2.95
P 0.0000 0.0000 0.0000  8 Na 2.95
S 0.5000 0.5000 0.5000  8 Na 2.95

[9]
The following is a DFT calculation (GGA-PBE) of a relaxed structure of Sm4Mg5Pd2.

Values from the calculation:
formation enthalpy at 0 K	-326	meV/atom

abc: 7.9501 3.6761 9.9885
angles: 90.00 92.81 90.00
Closest atoms and distances in Å follow each position.
Positions (direct):
Sm 0.1631 0.0000 0.3579  2 Pd 2.92
Sm 0.2255 0.0000 0.9491  4 Pd 2.99-3.05
Sm 0.7745 0.0000 0.0509  4 Pd 2.99-3.05
Sm 0.8369 0.0000 0.6421  2 Pd 2.92
Mg 0.1887 0.5000 0.6570  1 Pd 2.92, 2 Mg 2.99-3.24
Mg 0.4458 0.5000 0.1848  1 Pd 3.04, 2 Mg 3.16-3.24, 2 Sm 3.40
Mg 0.5000 0.5000 0.5000  4 Mg 2.99-3.16
Mg 0.5542 0.5000 0.8152  1 Pd 3.04, 2 Mg 3.16-3.24, 2 Sm 3.40
Mg 0.8113 0.5000 0.3430  1 Pd 2.92, 2 Mg 2.99-3.24
Pd 0.0646 0.5000 0.1406  6 Sm 2.92-3.05, 2 Mg 2.92-3.04, 1 Pd 2.94
Pd 0.9354 0.5000 0.8594  6 Sm 2.92-3.05, 2 Mg 2.92-3.04, 1 Pd 2.94

[10]
The following is a DFT calculation (GGA-PBE) of a relaxed structure of PrZnF4.

Values from the calculation:
energy relative to the elements, uncorrected	-2.9961	eV per atom

abc: 6.5000 6.5000 6.5000
angles: 110.34 110.34 107.75
Closest atoms and distances in Å follow each position.
Positions (direct):
Pr 0.3750 0.6250 0.7500  8 F 2.38-2.50
Pr 0.6250 0.3750 0.2500  8 F 2.38-2.50
Zn 0.1250 0.8750 0.2500  4 F 2.18
Zn 0.8750 0.1250 0.7500  4 F 2.18
F 0.0809 0.6503 0.4306  1 Zn 2.18, 1 Pr 2.38
F 0.2803 0.3497 0.9306  1 Zn 2.18, 1 Pr 2.38
F 0.3497 0.2803 0.4306  1 Zn 2.18, 1 Pr 2.38
F 0.3497 0.9191 0.0694  1 Zn 2.18, 1 Pr 2.38
F 0.6503 0.0809 0.9306  1 Zn 2.18, 1 Pr 2.38
F 0.6503 0.7197 0.5694  1 Zn 2.18, 1 Pr 2.38
F 0.7197 0.6503 0.0694  1 Zn 2.18, 1 Pr 2.38
F 0.9191 0.3497 0.5694  1 Zn 2.18, 1 Pr 2.38

[11]
The following is a DFT calculation (GGA-PBE) of a relaxed structure of Ho3Zn8.

Values from the calculation:
formation enthalpy at 0 K	-336	meV/atom

abc: 13.7805 13.7805 13.7805
angles: 165.29 161.55 23.68
Closest atoms and distances in Å follow each position.
Positions (direct):
Ho 0.0000 0.0000 0.0000  12 Zn 3.09-3.11
Ho 0.3561 0.8561 0.5000  12 Zn 3.06-3.16
Ho 0.6439 0.1439 0.5000  12 Zn 3.06-3.16
Zn 0.0940 0.5940 0.5000  3 Zn 2.53-2.54
Zn 0.1877 0.6877 0.5000  5 Zn 2.53-2.63
Zn 0.2591 0.2591 0.0000  8 Zn 2.61-2.87
Zn 0.4522 0.4522 0.0000  3 Zn 2.54-2.58
Zn 0.5478 0.5478 0.0000  3 Zn 2.54-2.58
Zn 0.7409 0.7409 0.0000  8 Zn 2.61-2.87
Zn 0.8123 0.3123 0.5000  5 Zn 2.53-2.63
Zn 0.9060 0.4060 0.5000  3 Zn 2.53-2.54

[12]
The following is a DFT calculation (GGA-PBE) of a relaxed structure of TlCuSe.

Values from the calculation:
energy relative to the elements, uncorrected	-0.2365	eV per atom

abc: 4.5844 5.4563 6.2447
angles: 89.94 89.54 89.96
Closest atoms and distances in Å follow each position.
Positions (direct):
Tl 0.0000 0.0000 0.0000  4 Cu 3.22, 6 Se 3.44-3.58
Tl 0.0052 0.4998 0.4202  4 Cu 3.22-3.23, 6 Se 3.44-3.58
Cu 0.5035 0.2502 0.7103  2 Se 2.29
Cu 0.5034 0.7504 0.7105  2 Se 2.29
Se 0.5018 0.0006 0.4151  2 Cu 2.29
Se 0.5040 0.4997 0.0057  2 Cu 2.29